Material: LiMn3Al2H6O12
Method: DFT, PBE+U
State: relaxed

Values from the calculation:
- VASP energy (Ha/atom) = -0.233
- spin magnetization (Bohr magnetons per cell) = 19.99

a b c (Å): 5.8849 7.9603 10.1482
angles (deg): 97.16 106.82 100.84
Closest atoms and distances in Å follow each position.
Space group P-1 (No. 2)
Inequivalent atoms, fractional coordinates:
1 Li 0.1583 0.1551 0.0010  6 O 1.97-2.19
2 Mn 0.0000 0.5000 0.5000  4 O 1.97-1.98
3 Mn 0.1709 0.1649 0.5093  6 O 1.92-1.97
4 Mn 0.3286 0.8352 0.4905  6 O 1.92-1.97
5 Mn 0.5000 0.5000 0.5000  4 O 1.97-1.98
6 Al 0.0000 0.5000 0.0000  6 O 1.89-1.98
7 Al 0.3324 0.8395 0.0013  5 O 1.81-1.94
8 Al 0.5000 0.5000 0.0000  6 O 1.89-1.96
9 H 0.0427 0.3308 0.2044  1 O 0.98
10 H 0.1082 0.3442 0.7975  1 O 0.99
11 H 0.2492 0.9825 0.2093  1 O 0.97
12 H 0.2843 0.9964 0.7914  1 O 0.98
13 H 0.3969 0.6650 0.2110  1 O 1.01
14 H 0.4315 0.6764 0.8009  1 O 0.98
15 O 0.0040 0.2801 0.6166  1 H 1.73, 2 Mn 1.92
16 O 0.0139 0.6885 0.8984  1 H 0.98
17 O 0.1655 0.9617 0.5999  1 H 1.83, 3 Mn 1.96-1.97
18 O 0.1668 0.3543 0.4066  3 Mn 1.94-1.98, 1 H 1.94
19 O 0.1709 0.3839 0.9006  1 H 0.99
20 O 0.1865 0.9531 0.1072  1 H 0.97
21 O 0.3328 0.6457 0.5935  3 Mn 1.94-1.98, 1 H 1.98
22 O 0.3356 0.0386 0.4015  1 H 1.84, 3 Mn 1.95-1.96
23 O 0.3382 0.6311 0.1057  1 H 1.01
24 O 0.3439 0.0193 0.8945  1 H 0.98
25 O 0.4829 0.6918 0.9034  1 H 0.98
26 O 0.4960 0.7200 0.3825  1 H 1.64